# PBEsol MgZnW2, optimized geometry
# Energy above the lowest structure with this stoichiometry: 64 kJ/mol of formula units
# Fermi-level density of states: 2.0 states/eV per cell
# Energy of formation: 0.388 eV/atom
# Space group: P2/m (10)
# Calculated density: 12.164 g/cm³
data_MgZnW2
_chemical_formula_sum 'Mg1 Zn1 W2'
_cell_length_a 2.678
_cell_length_b 4.543
_cell_length_c 5.278
_cell_angle_alpha 90.00
_cell_angle_beta 103.50
_cell_angle_gamma 90.00
_space_group_name_H-M_alt 'P 1'
_space_group_IT_number 1
_space_group_name_Hall 'P 1'
loop_
_atom_site_label
_atom_site_fract_x
_atom_site_fract_y
_atom_site_fract_z
Mg1 0.000 0.000 0.000
Zn1 0.500 0.000 0.500
W1 0.274 0.500 0.750
W2 0.726 0.500 0.250

=====

# PBEsol Mg3ZrW, optimized geometry
# Fermi-level density of states: 5.6 states/eV per cell
# Energy of formation: 1.468 eV/atom
# Space group: Pm-3m (221)
# Calculated density: 4.712 g/cm³
data_Mg3ZrW
_chemical_formula_sum 'Mg3 Zr1 W1'
_cell_length_a 4.968
_cell_length_b 4.968
_cell_length_c 4.968
_cell_angle_alpha 90.00
_cell_angle_beta 90.00
_cell_angle_gamma 90.00
_space_group_name_H-M_alt 'P 1'
_space_group_IT_number 1
_space_group_name_Hall 'P 1'
loop_
_atom_site_label
_atom_site_fract_x
_atom_site_fract_y
_atom_site_fract_z
Mg1 0.000 0.000 0.500
Mg2 0.000 0.500 0.000
Mg3 0.500 0.000 0.000
Zr1 0.500 0.500 0.500
W1 0.000 0.000 0.000

=====

Q: energy of formation of number 2 (Mg3ZrW)?
A: 1.468 eV/atom